(1)
DFT (PBE) results for a relaxed Pr4PIrSe2 crystal.

Calculated values
- SG = P2/m
- energy (eV per formula unit) = -51.9
- spin magnetization (μB/cell) = 0.00
- volume (Å³/atom) = 27.42

Lattice parameters (Å, degrees): 7.377 4.194 7.473 90.00 108.46 90.00
Sites, in units of the cell vectors:
1 Pr 0.240 0.000 0.229
2 Pr 0.252 0.500 0.771
3 Pr 0.748 0.500 0.229
4 Pr 0.760 0.000 0.771
5 P 0.500 0.000 0.000
6 Ir 0.000 0.500 0.000
7 Se 0.000 0.000 0.500
8 Se 0.500 0.500 0.500


(2)
DFT (PBE) results for a relaxed Pr4Te2PIr crystal.

Calculated values
- SG = P2/m
- energy (eV per formula unit) = -49.7
- spin magnetization (μB/cell) = 0.00
- volume (Å³/atom) = 29.96

Lattice parameters (Å, degrees): 7.539 4.292 7.798 90.00 108.20 90.00
Sites, in units of the cell vectors:
1 Pr 0.234 0.000 0.211
2 Pr 0.257 0.500 0.787
3 Pr 0.743 0.500 0.213
4 Pr 0.766 0.000 0.789
5 Te 0.000 0.000 0.500
6 Te 0.500 0.500 0.500
7 P 0.500 0.000 0.000
8 Ir 0.000 0.500 0.000


(3)
DFT (PBE) results for a relaxed Pr8Te4P3Ir crystal.

Calculated values
- SG = R-3m
- energy (eV per formula unit) = -98.4
- spin magnetization (μB/cell) = 0.00
- volume (Å³/atom) = 29.74

Lattice parameters (Å, degrees): 8.887 8.887 8.887 58.20 58.20 58.20
Sites, in units of the cell vectors:
1 Pr 0.238 0.238 0.238
2 Pr 0.242 0.736 0.736
3 Pr 0.264 0.264 0.758
4 Pr 0.264 0.758 0.264
5 Pr 0.736 0.242 0.736
6 Pr 0.736 0.736 0.242
7 Pr 0.758 0.264 0.264
8 Pr 0.762 0.762 0.762
9 Te 0.000 0.000 0.000
10 Te 0.000 0.500 0.500
11 Te 0.500 0.000 0.500
12 Te 0.500 0.500 0.000
13 P 0.000 0.000 0.500
14 P 0.000 0.500 0.000
15 P 0.500 0.000 0.000
16 Ir 0.500 0.500 0.500


(4)
DFT (PBE) results for a relaxed Pr2ZnP3Ir4 crystal.

Calculated values
- SG = P-4m2
- energy relative to the elements (meV/atom) = -858
- spin magnetization (μB/cell) = 0.00
- volume (Å³/atom) = 17.23

Lattice parameters (Å, degrees): 4.146 4.146 10.024 90.00 90.00 90.00
Sites, in units of the cell vectors:
1 Pr 0.000 0.500 0.247
2 Pr 0.500 0.000 0.753
3 Zn 0.500 0.500 0.000
4 P 0.000 0.000 0.000
5 P 0.000 0.500 0.635
6 P 0.500 0.000 0.365
7 Ir 0.000 0.000 0.500
8 Ir 0.000 0.500 0.866
9 Ir 0.500 0.000 0.134
10 Ir 0.500 0.500 0.500


(5)
DFT (PBE) results for a relaxed PrZn2PIr2 crystal.

Calculated values
- SG = P4/mmm
- energy relative to the elements (meV/atom) = -366
- spin magnetization (μB/cell) = 0.12
- volume (Å³/atom) = 19.00

Lattice parameters (Å, degrees): 4.500 4.500 5.629 90.00 90.00 90.00
Sites, in units of the cell vectors:
1 Pr 0.000 0.000 0.000
2 Zn 0.500 0.500 0.227
3 Zn 0.500 0.500 0.773
4 P 0.000 0.000 0.500
5 Ir 0.000 0.500 0.500
6 Ir 0.500 0.000 0.500


(6)
DFT (PBE) results for a relaxed PIrPt2 crystal.

Calculated values
- SG = Cmm2
- energy relative to the elements (meV/atom) = 146
- spin magnetization (μB/cell) = 0.00
- volume (Å³/atom) = 15.13

Lattice parameters (Å, degrees): 2.816 2.816 8.892 90.00 90.00 120.87
Sites, in units of the cell vectors:
1 P 0.000 0.000 0.000
2 Ir 0.500 0.500 0.784
3 Pt 0.000 0.000 0.511
4 Pt 0.500 0.500 0.235


(7)
DFT (PBE) results for a relaxed PIrPt2 crystal.

Calculated values
- SG = I-4m2
- energy relative to the elements (meV/atom) = 225
- spin magnetization (μB/cell) = 0.00
- volume (Å³/atom) = 15.02

Lattice parameters (Å, degrees): 4.572 4.572 4.572 126.25 126.25 79.48
Sites, in units of the cell vectors:
1 P 0.000 0.000 0.000
2 Ir 0.750 0.250 0.500
3 Pt 0.250 0.750 0.500
4 Pt 0.500 0.500 0.000


(8)
DFT (PBE) results for a relaxed PIr2Pt crystal.

Calculated values
- SG = Cmmm
- energy relative to the elements (meV/atom) = 164
- spin magnetization (μB/cell) = 0.00
- volume (Å³/atom) = 14.59

Lattice parameters (Å, degrees): 4.590 4.590 2.886 90.00 90.00 106.35
Sites, in units of the cell vectors:
1 P 0.000 0.000 0.000
2 Ir 0.000 0.500 0.500
3 Ir 0.500 0.000 0.500
4 Pt 0.500 0.500 0.000


(9)
DFT (PBE) results for a relaxed PIr2Pt crystal.

Calculated values
- SG = Cm
- energy relative to the elements (meV/atom) = -29
- spin magnetization (μB/cell) = 0.00
- volume (Å³/atom) = 14.74

Lattice parameters (Å, degrees): 4.841 4.841 4.966 113.64 113.64 33.92
Sites, in units of the cell vectors:
1 P 0.000 0.000 0.000
2 Ir 0.319 0.319 0.637
3 Ir 0.532 0.532 0.402
4 Pt 0.725 0.725 0.062


(10)
DFT (PBE) results for a relaxed PIrPt2 crystal.

Calculated values
- SG = Immm
- energy relative to the elements (meV/atom) = -59
- spin magnetization (μB/cell) = 0.00
- volume (Å³/atom) = 15.26

Lattice parameters (Å, degrees): 5.889 5.889 5.889 151.75 140.66 49.13
Sites, in units of the cell vectors:
1 P 0.000 0.000 0.000
2 Ir 0.500 0.500 0.000
3 Pt 0.184 0.684 0.500
4 Pt 0.816 0.316 0.500


(11)
DFT (PBE) results for a relaxed PIrPt2 crystal.

Calculated values
- SG = P2/m
- energy relative to the elements (meV/atom) = 31
- spin magnetization (μB/cell) = 0.00
- volume (Å³/atom) = 15.53

Lattice parameters (Å, degrees): 3.539 3.686 5.034 90.00 108.92 90.00
Sites, in units of the cell vectors:
1 P 0.000 0.000 0.000
2 Ir 0.000 0.000 0.500
3 Pt 0.377 0.500 0.225
4 Pt 0.623 0.500 0.775


(12)
DFT (PBE) results for a relaxed PIrPt2 crystal.

Calculated values
- SG = R3m
- energy relative to the elements (meV/atom) = -134
- spin magnetization (μB/cell) = 0.00
- volume (Å³/atom) = 14.78

Lattice parameters (Å, degrees): 8.438 8.438 8.438 19.60 19.60 19.60
Sites, in units of the cell vectors:
1 P 0.000 0.000 0.000
2 Ir 0.265 0.265 0.265
3 Pt 0.503 0.503 0.503
4 Pt 0.741 0.741 0.741


(13)
DFT (PBE) results for a relaxed PIrPt2 crystal.

Calculated values
- SG = I4/mmm
- energy relative to the elements (meV/atom) = 296
- spin magnetization (μB/cell) = 0.00
- volume (Å³/atom) = 15.08

Lattice parameters (Å, degrees): 4.924 4.924 4.924 134.22 134.22 66.75
Sites, in units of the cell vectors:
1 P 0.000 0.000 0.000
2 Ir 0.500 0.500 0.000
3 Pt 0.250 0.750 0.500
4 Pt 0.750 0.250 0.500


(14)
DFT (PBE) results for a relaxed PIrPt3 crystal.

Calculated values
- SG = Pm-3m
- energy relative to the elements (meV/atom) = 622
- relative energy among the computed polymorphs (meV per atom) = 0
- spin magnetization (μB/cell) = 0.00
- volume (Å³/atom) = 17.47

Lattice parameters (Å, degrees): 4.437 4.437 4.437 90.00 90.00 90.00
Sites, in units of the cell vectors:
1 P 0.000 0.000 0.000
2 Ir 0.500 0.500 0.500
3 Pt 0.000 0.000 0.500
4 Pt 0.000 0.500 0.000
5 Pt 0.500 0.000 0.000


(15)
DFT (PBE) results for a relaxed PIr2Pt crystal.

Calculated values
- SG = P4/mmm
- energy relative to the elements (meV/atom) = 195
- spin magnetization (μB/cell) = 0.00
- volume (Å³/atom) = 14.51

Lattice parameters (Å, degrees): 3.960 3.960 3.701 90.00 90.00 90.00
Sites, in units of the cell vectors:
1 P 0.000 0.000 0.000
2 Ir 0.000 0.500 0.500
3 Ir 0.500 0.000 0.500
4 Pt 0.500 0.500 0.000


(16)
DFT (PBE) results for a relaxed PIrPt2 crystal.

Calculated values
- SG = Pmmm
- energy relative to the elements (meV/atom) = 176
- spin magnetization (μB/cell) = 0.00
- volume (Å³/atom) = 15.09

Lattice parameters (Å, degrees): 2.796 4.600 4.693 90.00 90.00 90.00
Sites, in units of the cell vectors:
1 P 0.000 0.000 0.000
2 Ir 0.500 0.500 0.000
3 Pt 0.000 0.500 0.500
4 Pt 0.500 0.000 0.500


(17)
DFT (PBE) results for a relaxed PIr2Pt crystal.

Calculated values
- SG = Pmmm
- energy relative to the elements (meV/atom) = 254
- spin magnetization (μB/cell) = 0.00
- volume (Å³/atom) = 14.86

Lattice parameters (Å, degrees): 2.745 4.596 4.711 90.00 90.00 90.00
Sites, in units of the cell vectors:
1 P 0.000 0.000 0.000
2 Ir 0.000 0.500 0.500
3 Ir 0.500 0.500 0.000
4 Pt 0.500 0.000 0.500


(18)
DFT (PBE) results for a relaxed PIr2Pt crystal.

Calculated values
- SG = Imm2
- energy relative to the elements (meV/atom) = 8
- spin magnetization (μB/cell) = 0.00
- volume (Å³/atom) = 14.87

Lattice parameters (Å, degrees): 5.768 5.768 5.768 151.41 139.42 50.39
Sites, in units of the cell vectors:
1 P 0.000 0.000 0.000
2 Ir 0.179 0.679 0.500
3 Ir 0.490 0.490 0.000
4 Pt 0.805 0.305 0.500


(19)
DFT (PBE) results for a relaxed PIr2Pt crystal.

Calculated values
- SG = I4/mmm
- energy relative to the elements (meV/atom) = 275
- spin magnetization (μB/cell) = 0.00
- volume (Å³/atom) = 14.62

Lattice parameters (Å, degrees): 4.559 4.559 4.559 127.03 127.03 78.20
Sites, in units of the cell vectors:
1 P 0.000 0.000 0.000
2 Ir 0.250 0.750 0.500
3 Ir 0.750 0.250 0.500
4 Pt 0.500 0.500 0.000


(20)
DFT (PBE) results for a relaxed PIrPt2 crystal.

Calculated values
- SG = P4/mmm
- energy relative to the elements (meV/atom) = 206
- spin magnetization (μB/cell) = 0.00
- volume (Å³/atom) = 14.95

Lattice parameters (Å, degrees): 3.854 3.854 4.027 90.00 90.00 90.00
Sites, in units of the cell vectors:
1 P 0.000 0.000 0.000
2 Ir 0.500 0.500 0.000
3 Pt 0.000 0.500 0.500
4 Pt 0.500 0.000 0.500


(21)
DFT (PBE) results for a relaxed PIr2Pt crystal.

Calculated values
- SG = R3m
- energy relative to the elements (meV/atom) = 20
- spin magnetization (μB/cell) = 0.66
- volume (Å³/atom) = 14.47

Lattice parameters (Å, degrees): 8.418 8.418 8.418 19.46 19.46 19.46
Sites, in units of the cell vectors:
1 P 0.000 0.000 0.000
2 Ir 0.496 0.496 0.496
3 Ir 0.737 0.737 0.737
4 Pt 0.257 0.257 0.257


(22)
DFT (PBE) results for a relaxed PIrPt2 crystal.

Calculated values
- SG = Cmmm
- energy relative to the elements (meV/atom) = 233
- spin magnetization (μB/cell) = 0.00
- volume (Å³/atom) = 15.18

Lattice parameters (Å, degrees): 2.787 2.787 9.153 90.00 90.00 121.32
Sites, in units of the cell vectors:
1 P 0.000 0.000 0.000
2 Ir 0.000 0.000 0.500
3 Pt 0.500 0.500 0.240
4 Pt 0.500 0.500 0.760


(23)
DFT (PBE) results for a relaxed P4IrPt crystal.

Calculated values
- SG = F-43m
- energy relative to the elements (meV/atom) = 832
- spin magnetization (μB/cell) = 0.00
- volume (Å³/atom) = 14.57

Lattice parameters (Å, degrees): 4.981 4.981 4.981 60.00 60.00 60.00
Sites, in units of the cell vectors:
1 P 0.125 0.125 0.125
2 P 0.125 0.125 0.625
3 P 0.125 0.625 0.125
4 P 0.625 0.125 0.125
5 Ir 0.500 0.500 0.500
6 Pt 0.750 0.750 0.750


(24)
DFT (PBE) results for a relaxed PIr2Pt2 crystal.

Calculated values
- SG = P4/mbm
- energy relative to the elements (meV/atom) = 131
- spin magnetization (μB/cell) = 0.00
- volume (Å³/atom) = 15.77

Lattice parameters (Å, degrees): 6.042 6.042 4.321 90.00 90.00 90.00
Sites, in units of the cell vectors:
1 P 0.000 0.000 0.000
2 P 0.500 0.500 0.000
3 Ir 0.152 0.348 0.000
4 Ir 0.348 0.848 0.000
5 Ir 0.652 0.152 0.000
6 Ir 0.848 0.652 0.000
7 Pt 0.165 0.665 0.500
8 Pt 0.335 0.165 0.500
9 Pt 0.665 0.835 0.500
10 Pt 0.835 0.335 0.500


(25)
DFT (PBE) results for a relaxed PIrPt2 crystal.

Calculated values
- SG = Pm
- energy relative to the elements (meV/atom) = -132
- spin magnetization (μB/cell) = 0.00
- volume (Å³/atom) = 15.22

Lattice parameters (Å, degrees): 3.421 3.327 5.613 90.00 107.66 90.00
Sites, in units of the cell vectors:
1 P 0.000 0.000 0.000
2 Ir 0.561 0.500 0.127
3 Pt 0.212 0.000 0.427
4 Pt 0.843 0.500 0.690


(26)
DFT (PBE) results for a relaxed PIrPt2 crystal.

Calculated values
- SG = P4/mmm
- energy relative to the elements (meV/atom) = 153
- spin magnetization (μB/cell) = 0.00
- volume (Å³/atom) = 14.85

Lattice parameters (Å, degrees): 2.917 2.917 6.979 90.00 90.00 90.00
Sites, in units of the cell vectors:
1 P 0.000 0.000 0.000
2 Ir 0.000 0.000 0.500
3 Pt 0.500 0.500 0.228
4 Pt 0.500 0.500 0.772


(27)
DFT (PBE) results for a relaxed PIr2Pt crystal.

Calculated values
- SG = P4/mmm
- energy relative to the elements (meV/atom) = 5
- spin magnetization (μB/cell) = 0.00
- volume (Å³/atom) = 14.27

Lattice parameters (Å, degrees): 2.838 2.838 7.088 90.00 90.00 90.00
Sites, in units of the cell vectors:
1 P 0.000 0.000 0.000
2 Ir 0.500 0.500 0.207
3 Ir 0.500 0.500 0.793
4 Pt 0.000 0.000 0.500


(28)
DFT (PBE) results for a relaxed PIr2Pt crystal.

Calculated values
- SG = P2/m
- energy relative to the elements (meV/atom) = -41
- spin magnetization (μB/cell) = 0.00
- volume (Å³/atom) = 15.24

Lattice parameters (Å, degrees): 3.526 3.617 5.054 90.00 108.94 90.00
Sites, in units of the cell vectors:
1 P 0.000 0.000 0.000
2 Ir 0.362 0.500 0.223
3 Ir 0.638 0.500 0.777
4 Pt 0.000 0.000 0.500